Below is crystalline Fe2SeO at its relaxed geometry, with properties calculated at the GGA-PBEsol level.

Values from the calculation:
For the uncorrected formation energy, the calculation gives -0.42 eV/atom. The crystal system is tetragonal.

a = 4.324 Å, b = 4.324 Å, c = 11.038 Å
α = 90.00°, β = 90.00°, γ = 90.00°
Space group I-42d (No. 122)
One atom of each set of equivalent atoms:
Fe  0.137  0.250  0.125 [8 per cell]
Se  0.000  0.000  0.500 [4 per cell]
O  0.000  0.000  0.000 [4 per cell]